PBE CsWC3, optimized geometry; M_tot = 1.59 μB per formula unit; V = 79.01 Å³ per cell; space group = Pm-3m (221); energy of formation = 2260.0 kJ/mol of formula units; theoretical density = 7.41 g/cm³
1.0
4.2910 0.0000 0.0000
0.0000 4.2910 0.0000
0.0000 0.0000 4.2910
Cs W C
1 1 3
direct
0.0000 0.0000 0.0000
0.5000 0.5000 0.5000
0.0000 0.0000 0.5000
0.0000 0.5000 0.0000
0.5000 0.0000 0.0000